Below is an optimized crystal structure of CsAcMoO5, with properties calculated at the PBE with a Hubbard U level.

It has space group C2/c (No. 15), with a = 8.358 Å, b = 11.147 Å, c = 8.729 Å, α = 90.00°, β = 115.11° and γ = 90.00°. The asymmetric unit holds Cs at (0.000, 0.175, 0.250), Ac at (0.000, 0.500, 0.000), Mo at (0.000, 0.186, 0.750), O at (0.000, 0.429, 0.250), O at (0.081, 0.280, 0.630) and O at (0.173, 0.091, 0.891).

As for the energy: -6.871 eV per atom. The spin magnetization is 0.00 μB/cell. The calculation puts the theoretical density at 4833 kg/m3.